A plane-wave DFT calculation with PBE-GGA was carried out for AlNiAsBr2 after structural relaxation.

```
AlNiAsBr2
1.0
5.226 0.000 0.000
0.000 5.226 0.000
0.000 0.000 4.475
Al Ni As Br
1 1 1 2
Direct
0.000 0.000 0.000 Al
0.500 0.500 0.500 Ni
0.500 0.500 0.000 As
0.000 0.500 0.500 Br
0.500 0.000 0.500 Br
```

Computed properties:
E_form (uncorrected)   0.222 eV/atom
Fermi-level density of states   0.728 states/eV per atom
Spin magnetization   0.5 Bohr magnetons per cell

A plane-wave DFT calculation with PBE-GGA was carried out for AlAsOsBr2 after structural relaxation.

```
AlAsOsBr2
1.0
4.826 0.000 0.000
0.000 4.826 0.000
0.000 0.000 5.249
Al As Os Br
1 1 1 2
Direct
0.000 0.000 0.000 Al
0.000 0.000 0.500 As
0.500 0.500 0.500 Os
0.000 0.500 0.000 Br
0.500 0.000 0.000 Br
```

Computed properties:
E_form (uncorrected)   1.125 eV/atom
Fermi-level density of states   1.092 states/eV per atom
Spin magnetization   3.6 Bohr magnetons per cell

A plane-wave DFT calculation with PBE-GGA was carried out for AlAs2OsBr after structural relaxation.

```
AlAs2OsBr
1.0
4.724 0.000 0.000
0.000 4.724 0.000
0.000 0.000 5.641
Al As Os Br
1 2 1 1
Direct
0.000 0.000 0.000 Al
0.000 0.500 0.500 As
0.500 0.000 0.500 As
0.500 0.500 0.500 Os
0.500 0.500 0.000 Br
```

Computed properties:
E_form (uncorrected)   0.575 eV/atom
Fermi-level density of states   0.836 states/eV per atom
Spin magnetization   0.0 Bohr magnetons per cell

A plane-wave DFT calculation with PBE-GGA was carried out for AlAs2OsBr after structural relaxation.

```
AlAs2OsBr
1.0
4.851 0.000 0.000
0.000 4.851 0.000
0.000 0.000 4.741
Al As Os Br
1 2 1 1
Direct
0.000 0.000 0.000 Al
0.000 0.500 0.000 As
0.500 0.000 0.000 As
0.500 0.500 0.500 Os
0.000 0.000 0.500 Br
```

Computed properties:
E_form (uncorrected)   1.297 eV/atom
Fermi-level density of states   0.568 states/eV per atom
Spin magnetization   2.2 Bohr magnetons per cell

Which formula does entry 4 have? AlAs2OsBr

The highest E_form (uncorrected) belongs to which entry? number 4

The highest E_form (uncorrected) belongs to which entry? number 4

Which formula does entry 3 have? AlAs2OsBr